A plane-wave DFT calculation with PBE-GGA was carried out for a geometry-optimized Ca2Cd2Au structure.

E above lowest polymorph = 0 meV per atom
DOS(E_F) = 0.570 states/eV per atom
energy of formation = -232.5 kJ/mol of formula units

Unit cell a=3.744 b=4.688 c=15.015 alpha=90.00 beta=90.00 gamma=90.00
Space group Amm2 (No. 38)
Inequivalent atoms, fractional coordinates:
Ca 0.000 0.000 0.000 [2 per cell]
Ca 0.000 0.000 0.252 [2 per cell]
Cd 0.500 0.000 0.623 [2 per cell]
Cd 0.500 0.000 0.821 [2 per cell]
Au 0.500 0.000 0.430 [2 per cell]


A plane-wave DFT calculation with PBE-GGA was carried out for a geometry-optimized Fe2ReOs structure.

DOS(E_F) = 0.911 states/eV per atom
energy of formation = 43.3 kJ/mol of formula units

Unit cell a=2.872 b=2.872 c=6.379 alpha=90.00 beta=90.00 gamma=90.00
Space group P4mm (No. 99)
Inequivalent atoms, fractional coordinates:
Fe 0.000 0.000 0.000 [1 per cell]
Fe 0.500 0.500 0.207 [1 per cell]
Re 0.500 0.500 0.742 [1 per cell]
Os 0.000 0.000 0.466 [1 per cell]


A plane-wave DFT calculation with PBE-GGA was carried out for a geometry-optimized KRb2NdI6 structure.

E_form (uncorrected) = -1468 meV/atom
DOS(E_F) = 0.000 states/eV per atom

Unit cell a=8.9542 b=8.9542 c=22.8447 alpha=90.00 beta=90.00 gamma=120.00
Space group R3 (No. 146, hexagonal axes)
Inequivalent atoms, fractional coordinates:
K 0.0000 0.0000 0.0000 [3 per cell]
Rb 0.0000 0.0000 0.2844 [3 per cell]
Rb 0.0000 0.0000 0.7912 [3 per cell]
Nd 0.0000 0.0000 0.4950 [3 per cell]
I 0.0150 0.4063 0.2363 [9 per cell]
I 0.0773 0.7084 0.0777 [9 per cell]


A plane-wave DFT calculation with PBE-GGA was carried out for a geometry-optimized CaPbOF2 structure.

E_form (uncorrected) = -1842 meV/atom
E above lowest polymorph = 555 meV per atom
DOS(E_F) = 0.158 states/eV per atom

Unit cell a=4.546 b=4.546 c=4.622 alpha=90.00 beta=90.00 gamma=90.00
Space group P4/mmm (No. 123)
Inequivalent atoms, fractional coordinates:
Ca 0.000 0.000 0.000 [1 per cell]
Pb 0.500 0.500 0.500 [1 per cell]
O 0.500 0.500 0.000 [1 per cell]
F 0.000 0.500 0.500 [2 per cell]


A plane-wave DFT calculation with PBE-GGA was carried out for a geometry-optimized La2HgOs structure.

DOS(E_F) = 0.981 states/eV per atom
energy of formation = 19.3 kJ/mol of formula units

Unit cell a=4.568 b=4.568 c=9.256 alpha=90.00 beta=90.00 gamma=90.00
Space group I-4m2 (No. 119)
Inequivalent atoms, fractional coordinates:
La 0.000 0.000 0.000 [2 per cell]
La 0.000 0.500 0.250 [2 per cell]
Hg 0.000 0.000 0.500 [2 per cell]
Os 0.000 0.500 0.750 [2 per cell]


A plane-wave DFT calculation with PBE-GGA was carried out for a geometry-optimized P2C structure.

E above lowest polymorph = 771 meV per atom
DOS(E_F) = 0.255 states/eV per atom
energy of formation = 347.8 kJ/mol of formula units

Unit cell a=2.860 b=13.342 c=4.258 alpha=90.00 beta=90.00 gamma=90.00
Space group Cmcm (No. 63)
Inequivalent atoms, fractional coordinates:
P 0.000 0.107 0.250 [4 per cell]
P 0.000 0.332 0.250 [4 per cell]
C 0.000 0.302 0.750 [4 per cell]


A plane-wave DFT calculation with PBE-GGA was carried out for a geometry-optimized PaNi6B4 structure.

DOS(E_F) = 0.543 states/eV per atom
energy of formation = -333.7 kJ/mol of formula units

Unit cell a=6.2054 b=6.2054 c=3.3304 alpha=90.00 beta=90.00 gamma=120.00
Space group P-6m2 (No. 187)
Inequivalent atoms, fractional coordinates:
Pa 0.0000 0.0000 0.0000 [1 per cell]
Ni 0.2011 0.4021 0.5000 [3 per cell]
Ni 0.5336 0.0672 0.0000 [3 per cell]
B 0.3333 0.6667 0.0000 [1 per cell]
B 0.4155 0.2077 0.5000 [3 per cell]


A plane-wave DFT calculation with PBE-GGA was carried out for a geometry-optimized Sc3GaN structure.

E_form (uncorrected) = -283 meV/atom
DOS(E_F) = 1.118 states/eV per atom

Unit cell a=3.111 b=6.179 c=14.100 alpha=90.00 beta=90.00 gamma=90.00
Space group Amm2 (No. 38)
Inequivalent atoms, fractional coordinates:
Sc 0.000 0.000 0.000 [2 per cell]
Sc 0.500 0.237 0.831 [4 per cell]
Ga 0.500 0.000 0.170 [2 per cell]
N 0.000 0.000 0.842 [2 per cell]